P | Y3ScBr after structural relaxation, computed with PBE.

```
Y3ScBr
1.0
5.648 0.000 0.000
0.000 5.648 0.000
0.000 0.000 5.648
Y Sc Br
3 1 1
direct
0.000 0.000 0.500
0.000 0.500 0.000
0.500 0.000 0.000
0.000 0.000 0.000
0.500 0.500 0.500
```

ρ, g/cm³: 3.61
Space group: Pm-3m



Q | Y3ScBr after structural relaxation, computed with PBE.

```
Y3ScBr
1.0
5.380 0.000 0.000
0.000 5.380 0.000
0.000 0.000 5.380
Y Sc Br
3 1 1
direct
0.000 0.000 0.500
0.000 0.500 0.000
0.500 0.000 0.000
0.500 0.500 0.500
0.000 0.000 0.000
```

ρ, g/cm³: 4.18
Space group: Pm-3m



Most stable = Q